! PrNdCuPb | Alexandria | GGA-PBE | optimized geometry; values from VASP
! energy of formation	-0.30	eV/atom
! volume	27.70	Å³/atom
! energy	-18.6	eV/f.u.
&SYSTEM
  ibrav = 0, nat = 4, ntyp = 4
/
ATOMIC_SPECIES
Pr 140.91 Pr.upf
Nd 144.24 Nd.upf
Cu 63.55 Cu.upf
Pb 207.20 Pb.upf
ATOMIC_POSITIONS crystal
Pr 0.000 0.000 0.000
Nd 0.500 0.500 0.500
Cu 0.250 0.250 0.250
Pb 0.750 0.750 0.750
CELL_PARAMETERS angstrom
0.000 3.812 3.812
3.812 0.000 3.812
3.812 3.812 0.000